Density functional theory data (PBE+U) for crystalline CaMo2O6 at its relaxed geometry.

Cell and atoms, written as POSCAR:
```
CaMo2O6
1.0
5.579 -1.989 0.000
5.579 1.989 0.000
-1.804 0.000 6.928
Ca Mo O
1 2 6
Cartesian
0.000 0.000 0.000
1.442 0.000 4.672
7.912 0.000 2.255
-0.252 0.000 5.140
1.977 0.000 2.663
2.683 0.000 6.033
6.671 0.000 0.895
7.377 0.000 4.265
9.606 0.000 1.788
```

Total magnetization ... 2.000 μB per formula unit
N(E_F) ... 0.000 states/eV per atom
E ... -0.522 Ry per atom
SG ... C2/m
Energy above the lowest structure with this stoichiometry ... 0 meV per atom